Computed, not measured: a relaxed Sc3NiBi crystal at the PBE level of DFT.

The space group is Pm-3m (No. 221) and the conventional cell measures 4.895, 4.895 and 4.895 Å, with angles of 90.00, 90.00 and 90.00 degrees. The inequivalent atoms are Sc at (0.000, 0.000, 0.500), Ni at (0.000, 0.000, 0.000) and Bi at (0.500, 0.500, 0.500).

As for the energy relative to the elements: -1.8 eV/f.u. As for the spin magnetization: 0.00 μB per formula unit. Its energy above the most stable polymorph in this dataset is 0.0 meV per atom. The total energy is -6.08 eV per atom. The density of states at the Fermi level is 6.84 states/eV/cell.